Computed, not measured: ZnCu8 after structural relaxation at the PBE-GGA level of DFT.

```
18
Lattice="4.0282 -1.7476 0.0000 4.0282 1.7476 0.0000 -0.0080 0.0000 22.0193" Properties=species:S:1:pos:R:3 pbc="T T T"
Cu 6.8474 0.0000 3.7238
Cu 0.4082 0.0000 20.7786
Cu 1.9999 0.0000 2.0544
Cu 4.4158 0.0000 2.9055
Zn 0.4327 0.0000 7.0211
Zn 7.6157 0.0000 14.9982
Cu 6.8217 0.0000 17.4908
Cu 1.2011 0.0000 18.2955
Cu 4.4187 0.0000 16.6020
Cu 1.9772 0.0000 15.7934
Cu 5.2293 0.0000 0.4214
Cu 3.6297 0.0000 5.4173
Cu 6.0486 0.0000 19.9649
Cu 3.6327 0.0000 19.1138
Cu 6.0713 0.0000 6.2259
Cu 1.2267 0.0000 4.5285
Cu 2.8192 0.0000 21.5979
Cu 7.6402 0.0000 1.2407
```

Values from the calculation:
**Formation enthalpy at 0 K**: 104.8 meV/atom
**Symmetry**: No. 12